Density functional theory data (GGA-PBE) for crystalline CaMgTa at its relaxed geometry.

Computed properties:
For the total energy, the calculation gives -4.673 eV/atom. As for the magnetization: 0.9 μB/cell. The calculation puts the energy above the lowest structure with this stoichiometry at 0 meV per atom. Its energy of formation is 476.9 meV/atom. The calculation puts the volume at 71 Å³/cell.

Structure (POSCAR):
```
CaMgTa
1.0
-4.541 -0.437 6.417
-2.256 -2.317 7.178
1.222 2.193 1.741
Ta Ca Mg
1 1 1
Cartesian
-4.189 -1.145 9.740
1.153 2.150 1.844
-1.317 0.627 5.494
```



Density functional theory data (GGA-PBE) for crystalline Ca3MgTa at its relaxed geometry.

Computed properties:
For the total energy, the calculation gives -2.512 eV/atom. As for the magnetization: 0.0 μB/cell. The calculation puts the energy above the lowest structure with this stoichiometry at 391 meV per atom. Its energy of formation is 1378.5 meV/atom. The calculation puts the volume at 180 Å³/cell.

Structure (POSCAR):
```
Ca3MgTa
1.0
-4.937 2.740 -0.182
-1.847 -3.037 4.390
2.031 3.896 3.550
Ca Ta Mg
3 1 1
Cartesian
-2.469 1.370 -0.091
-0.924 -1.519 2.195
1.016 1.948 1.775
-2.376 1.799 3.879
0.000 0.000 0.000
```



Density functional theory data (GGA-PBE) for crystalline CaMgTa at its relaxed geometry.

Computed properties:
For the total energy, the calculation gives -4.513 eV/atom. As for the magnetization: 0.0 μB/cell. The calculation puts the energy above the lowest structure with this stoichiometry at 159 meV per atom. Its energy of formation is 636.2 meV/atom. The calculation puts the volume at 72 Å³/cell.

Structure (POSCAR):
```
CaMgTa
1.0
-2.895 2.851 4.591
0.313 -1.095 6.024
2.554 1.441 -5.384
Ca Ta Mg
1 1 1
Cartesian
-2.575 1.751 10.586
-1.778 1.209 7.309
-0.811 0.552 3.335
```



Density functional theory data (GGA-PBE) for crystalline CaMgTa4 at its relaxed geometry.

Computed properties:
For the total energy, the calculation gives -8.021 eV/atom. As for the magnetization: 0.0 μB/cell. Its energy of formation is 479.8 meV/atom. The calculation puts the volume at 130 Å³/cell.

Structure (POSCAR):
```
CaMgTa4
1.0
0.000 4.018 4.018
4.018 0.000 4.018
4.018 4.018 0.000
Ta Mg Ca
4 1 1
Cartesian
5.008 3.027 5.008
5.008 5.008 3.027
3.027 5.008 5.008
3.027 3.027 3.027
0.000 0.000 0.000
6.026 6.026 6.026
```



Density functional theory data (GGA-PBE) for crystalline CaMgTa at its relaxed geometry.

Computed properties:
For the total energy, the calculation gives -4.643 eV/atom. As for the magnetization: 0.0 μB/cell. The calculation puts the energy above the lowest structure with this stoichiometry at 30 meV per atom. Its energy of formation is 507.1 meV/atom. The calculation puts the volume at 70 Å³/cell.

Structure (POSCAR):
```
CaMgTa
1.0
-0.372 -2.372 2.015
2.776 1.437 -0.234
-2.248 5.293 5.815
Mg Ca Ta
1 1 1
Cartesian
-0.120 0.775 3.328
-2.220 5.227 5.742
0.248 3.649 4.341
```



Density functional theory data (GGA-PBE) for crystalline CaTb2Mg at its relaxed geometry.

Computed properties:
For the total energy, the calculation gives -3.137 eV/atom. As for the magnetization: 0.0 μB/cell. The calculation puts the energy above the lowest structure with this stoichiometry at 50 meV per atom. Its energy of formation is 77.0 meV/atom. The calculation puts the volume at 123 Å³/cell.

Structure (POSCAR):
```
CaTb2Mg
1.0
-3.033 3.623 2.984
-0.940 -0.947 5.427
2.470 3.195 3.863
Mg Ca Tb
1 1 2
Cartesian
-0.751 2.936 6.137
0.000 0.000 0.000
-0.376 1.468 3.068
-1.127 4.404 9.205
```



Density functional theory data (GGA-PBE) for crystalline CaTb2Mg at its relaxed geometry.

Computed properties:
For the total energy, the calculation gives -3.006 eV/atom. As for the magnetization: 0.0 μB/cell. The calculation puts the energy above the lowest structure with this stoichiometry at 182 meV per atom. Its energy of formation is 208.3 meV/atom. The calculation puts the volume at 131 Å³/cell.

Structure (POSCAR):
```
CaTb2Mg
1.0
-3.406 -0.657 -0.484
-1.282 -3.188 0.680
-3.870 2.123 11.673
Tb Mg Ca
2 1 1
Cartesian
-3.217 1.159 8.388
-5.342 -2.882 3.481
-4.279 -0.861 5.934
0.000 0.000 0.000
```



Density functional theory data (GGA-PBE) for crystalline Ca4TbMg5 at its relaxed geometry.

Computed properties:
For the total energy, the calculation gives -2.138 eV/atom. As for the magnetization: 0.3 μB/cell. Its energy of formation is -76.9 meV/atom. The calculation puts the volume at 303 Å³/cell.

Structure (POSCAR):
```
Ca4TbMg5
1.0
-0.823 -3.303 -1.923
3.749 -1.081 0.253
-3.784 -9.092 17.231
Mg Tb Ca
5 1 4
Cartesian
0.340 -4.889 4.275
-1.199 -8.587 11.285
1.112 -3.035 0.762
-0.429 -6.738 7.780
-1.970 -10.441 14.798
0.000 0.000 0.000
-2.278 -5.474 10.374
-0.736 -1.768 3.350
-3.048 -7.324 13.881
-1.506 -3.618 6.857
```



Density functional theory data (GGA-PBE) for crystalline Ca2TbMg at its relaxed geometry.

Computed properties:
For the total energy, the calculation gives -2.431 eV/atom. As for the magnetization: 0.0 μB/cell. The calculation puts the energy above the lowest structure with this stoichiometry at 54 meV per atom. Its energy of formation is 126.2 meV/atom. The calculation puts the volume at 134 Å³/cell.

Structure (POSCAR):
```
Ca2TbMg
1.0
5.742 0.000 0.000
2.871 4.973 0.000
2.871 1.658 4.689
Ca Mg Tb
2 1 1
Cartesian
2.871 1.658 1.172
8.613 4.973 3.516
5.742 3.315 2.344
0.000 0.000 0.000
```



Density functional theory data (GGA-PBE) for crystalline Ca5TbMg6 at its relaxed geometry.

Computed properties:
For the total energy, the calculation gives -2.095 eV/atom. As for the magnetization: 0.0 μB/cell. Its energy of formation is -77.9 meV/atom. The calculation puts the volume at 366 Å³/cell.

Structure (POSCAR):
```
Ca5TbMg6
1.0
-0.953 -2.443 4.953
4.515 -5.975 -2.077
8.476 -0.253 4.594
Mg Ca Tb
6 5 1
Cartesian
7.378 -3.002 3.056
2.969 -5.779 0.892
4.660 -5.668 4.413
9.070 -2.892 6.577
9.701 -6.076 1.987
2.337 -2.594 5.482
5.756 -2.801 6.015
2.258 -2.988 -1.039
8.048 -5.768 4.991
6.282 -5.869 1.455
3.991 -2.902 2.479
0.000 0.000 0.000
```



Density functional theory data (GGA-PBE) for crystalline Ca2Tb3Mg2 at its relaxed geometry.

Computed properties:
For the total energy, the calculation gives -3.008 eV/atom. As for the magnetization: 0.0 μB/cell. Its energy of formation is 3.8 meV/atom. The calculation puts the volume at 226 Å³/cell.

Structure (POSCAR):
```
Ca2Tb3Mg2
1.0
3.655 0.000 -0.441
0.000 3.612 0.000
0.206 0.000 17.075
Tb Mg Ca
3 2 2
Cartesian
2.119 1.806 2.190
1.743 1.806 14.444
0.000 0.000 0.000
3.315 0.000 12.105
0.546 0.000 4.529
2.643 1.806 6.540
1.218 1.806 10.094
```



Density functional theory data (GGA-PBE) for crystalline CaTb5Mg6 at its relaxed geometry.

Computed properties:
For the total energy, the calculation gives -2.967 eV/atom. As for the magnetization: 0.0 μB/cell. Its energy of formation is -74.0 meV/atom. The calculation puts the volume at 336 Å³/cell.

Structure (POSCAR):
```
CaTb5Mg6
1.0
-4.328 -1.645 -2.824
4.519 -1.862 -5.837
-1.327 -8.319 1.628
Mg Tb Ca
6 5 1
Cartesian
-1.017 -1.295 -2.894
1.770 -7.191 -3.752
-2.907 -4.636 -3.281
-0.120 -10.531 -4.139
-0.674 -5.556 -6.165
-0.463 -6.271 -0.868
-1.884 -3.352 -0.388
2.259 -0.931 -2.918
0.747 -8.475 -6.645
-1.508 -7.578 -3.712
0.371 -4.249 -3.321
0.000 0.000 0.000
```



Question: Which formula does entry 1 have?
Answer: CaMgTa